# Tb3Mg2Sn3 (PBE, relaxed)
data_Tb3Mg2Sn3
_space_group_name_H-M_alt 'P 63/m c m'
_space_group_IT_number 193
_space_group_name_Hall '-P 6c 2'
_cell_length_a 8.8624
_cell_length_b 8.8624
_cell_length_c 6.2888
_cell_angle_alpha 90.00
_cell_angle_beta 90.00
_cell_angle_gamma 120.00
loop_
_atom_site_label
_atom_site_type_symbol
_atom_site_fract_x
_atom_site_fract_y
_atom_site_fract_z
Tb1 Tb 0.0000 0.2580 0.2500
Mg1 Mg 0.3333 0.6667 0.0000
Sn1 Sn 0.0000 0.3891 0.7500
# ΔH_f (0 K): -0.52 eV per atom
# N(E_F): 8.83 states/eV per cell